(1)
## AcTmGe2Au2 (PBE-GGA)

Data for crystalline AcTmGe2Au2 at its relaxed geometry.

extended XYZ file:
```
6
Lattice="4.5116 0.0000 0.0000 -2.2558 3.9072 0.0000 0.0000 0.0000 7.9389" Properties=species:S:1:pos:R:3 pbc="T T T"
Ac 0.0000 0.0000 0.0000
Tm 0.0000 0.0000 3.9694
Ge 0.0000 2.6048 5.8720
Ge 2.2558 1.3024 2.0669
Au 0.0000 2.6048 2.3732
Au 2.2558 1.3024 5.5657
```

Properties
The value obtained for the total magnetization is 0.00 μB/f.u. Its crystal system is trigonal. The calculated density comes out at 11.10 g cm⁻³. The calculation puts the formation enthalpy at 0 K at -4.89 eV per formula unit.

---

(2)
## AcTmGeAu (PBE-GGA)

Data for crystalline AcTmGeAu at its relaxed geometry.

extended XYZ file:
```
4
Lattice="0.0000 3.7490 3.7490 3.7490 0.0000 3.7490 3.7490 3.7490 0.0000" Properties=species:S:1:pos:R:3 pbc="T T T"
Ac 0.0000 0.0000 0.0000
Tm 3.7490 3.7490 3.7490
Ge 5.6236 5.6236 5.6236
Au 1.8745 1.8745 1.8745
```

Properties
The value obtained for the total magnetization is 0.03 μB/f.u. Its crystal system is cubic. The calculated density comes out at 10.49 g cm⁻³. The calculation puts the formation enthalpy at 0 K at -2.56 eV per formula unit.